[1]
The following is a DFT calculation (GGA-PBE) of an optimized crystal structure of CsRbTl2.

```
CsRbTl2
1.0
-4.658 -3.420 -2.374
4.793 -4.322 5.016
-5.249 2.295 6.993
Cs Rb Tl
2 2 4
direct
0.766 0.523 0.250
0.234 0.477 0.750
0.061 0.114 0.250
0.939 0.886 0.750
0.421 0.831 0.083
0.421 0.831 0.417
0.579 0.169 0.917
0.579 0.169 0.583
```

- Energy relative to the lowest polymorph listed for this composition: 22 meV per atom
- Space group: No. 11
- Energy of formation from the pure elements: -0.163 eV per formula unit

[2]
The following is a DFT calculation (GGA-PBE) of an optimized crystal structure of Tc3AsAu.

```
Tc3AsAu
1.0
4.525 0.000 0.000
0.000 4.525 0.000
0.000 0.000 4.525
As Au Tc
1 1 3
direct
0.000 0.000 0.000
0.500 0.500 0.500
0.000 0.500 0.000
0.000 0.000 0.500
0.500 0.000 0.000
```

- Energy relative to the lowest polymorph listed for this composition: 0 meV per atom
- Space group: No. 221
- Energy of formation from the pure elements: 5.643 eV per formula unit

[3]
The following is a DFT calculation (GGA-PBE) of an optimized crystal structure of Sb2MoCl.

```
Sb2MoCl
1.0
5.226 -0.005 0.000
1.210 5.084 0.000
-3.218 -2.539 3.241
Cl Mo Sb
1 1 2
direct
0.250 0.750 0.500
0.750 0.250 0.500
0.000 0.000 0.000
0.500 0.500 0.000
```

- E_form (uncorrected): 0.48 eV/atom
- Energy relative to the lowest polymorph listed for this composition: 490 meV per atom
- Space group: No. 139

[4]
The following is a DFT calculation (GGA-PBE) of an optimized crystal structure of Li5Ag3Hg3.

```
Li5Ag3Hg3
1.0
-2.618 -0.962 0.900
4.216 -6.825 4.971
-1.707 8.379 3.993
Li Ag Hg
5 3 3
direct
0.500 0.667 0.333
0.500 0.333 0.667
0.500 0.324 0.000
0.500 0.676 0.676
0.500 0.000 0.324
0.500 0.829 0.000
0.500 0.171 0.171
0.500 0.000 0.829
0.000 0.566 0.000
0.000 0.000 0.566
0.000 0.434 0.434
```

- Space group: No. 189
- Energy of formation from the pure elements: -0.848 eV per formula unit